--- A ---
This record from Alexandria describes a geometry-optimized Mg2CoNi2 structure. The functional is GGA-PBE.

extended XYZ file:
```
10
Lattice="-1.1328 -0.3920 5.8901 1.4000 -5.8443 -0.1197 3.8203 0.8989 0.7946" Properties=species:S:1:pos:R:3 pbc="T T T"
Mg 1.7873 -0.7015 2.2898
Co 0.1336 -3.1181 2.8852
Mg 2.3001 -4.6359 4.2752
Co 0.0000 0.0000 0.0000
Ni 0.7977 -5.2028 2.0504
Ni -0.0927 -4.0463 5.0232
Ni 0.3599 -2.1899 0.7472
Ni -0.5305 -1.0335 3.7199
Mg 1.4305 -1.7725 5.2169
Mg 2.6569 -3.5649 1.3481
```

## Properties
The density of states at the Fermi level comes out at 6.76 states/eV per cell. As for the theoretical density: 5164 kg/m³. The value obtained for the spin magnetization is 1.81 μB/f.u.

--- B ---
This record from Alexandria describes a geometry-optimized Mg2CoNi2 structure. The functional is GGA-PBE.

extended XYZ file:
```
10
Lattice="-4.1412 5.6049 -1.5319 -5.3697 -2.9731 3.6384 0.8570 1.2603 2.2946" Properties=species:S:1:pos:R:3 pbc="T T T"
Mg -2.5105 -0.2691 1.0854
Ni -6.8179 1.8142 3.2033
Mg -3.4205 3.1760 -0.4670
Ni -4.8956 4.3329 1.1019
Ni -3.7584 -0.4407 3.2992
Co 0.0000 0.0000 0.0000
Mg -7.0005 2.9009 1.0212
Mg -6.0905 -0.5441 2.5735
Co -4.7555 1.3159 1.0533
Ni -1.8361 2.0780 1.1979
```

## Properties
The density of states at the Fermi level comes out at 7.46 states/eV per cell. As for the theoretical density: 5327 kg/m³. The value obtained for the spin magnetization is 1.78 μB/f.u.

Stability ranking, top entry: A; the second entry is 0.269 eV/atom less favorable.

--- A ---
This record from Alexandria describes a geometry-optimized Mg6CoNi structure. The functional is GGA-PBE.

extended XYZ file:
```
8
Lattice="2.1335 3.1988 4.2158 -5.2743 0.3918 2.1414 0.7021 -3.6203 2.3916" Properties=species:S:1:pos:R:3 pbc="T T T"
Mg -2.8407 1.3140 2.8229
Ni -0.6345 0.2068 4.5382
Mg -1.2231 2.8491 4.6719
Mg 1.7724 3.0620 4.1147
Mg -3.0010 0.5822 5.8013
Mg -0.0113 1.4638 2.2192
Co -3.8913 -1.0273 3.6262
Mg -1.3294 -1.3287 2.4179
```

## Properties
The density of states at the Fermi level comes out at 3.25 states/eV per cell. As for the theoretical density: 3059 kg/m³. The value obtained for the spin magnetization is 0.00 μB/f.u.

--- B ---
This record from Alexandria describes a geometry-optimized Mg6CoNi structure. The functional is GGA-PBE.

extended XYZ file:
```
8
Lattice="2.9614 -5.1271 0.0000 2.9614 5.1271 0.0000 0.0000 0.0000 4.6321" Properties=species:S:1:pos:R:3 pbc="T T T"
Mg 2.9614 -4.3641 2.3161
Mg 1.4018 -1.6638 2.3161
Mg 2.9614 -0.7794 0.0000
Mg 4.3766 1.6725 0.0000
Mg 1.5461 1.6725 0.0000
Ni 2.9614 0.8526 2.3161
Co 2.9614 4.2735 0.0000
Mg 4.5210 -1.6638 2.3161
```

## Properties
The density of states at the Fermi level comes out at 3.74 states/eV per cell. As for the theoretical density: 3110 kg/m³. The value obtained for the spin magnetization is 0.21 μB/f.u.

Stability ranking, top entry: B; the second entry is 0.026 eV/atom less favorable.

--- A ---
This record from Alexandria describes a geometry-optimized MgCoNi structure. The functional is GGA-PBE.

extended XYZ file:
```
12
Lattice="4.8740 0.0153 0.0000 -2.5054 4.1808 0.0000 0.0000 0.0000 7.7672" Properties=species:S:1:pos:R:3 pbc="T T T"
Co -2.4633 4.1571 1.9062
Ni 1.1499 3.4801 3.8836
Mg 2.4209 1.4000 5.3206
Co 1.1999 0.7584 0.0000
Ni 3.5825 0.7443 0.0000
Co 2.3393 2.7769 0.0000
Mg 2.4209 1.4000 2.4466
Ni -1.2490 3.4716 3.8836
Mg -0.0476 2.7934 6.3072
Co -2.4633 4.1571 5.8610
Mg -0.0476 2.7934 1.4600
Ni -0.0167 1.4133 3.8836
```

## Properties
The density of states at the Fermi level comes out at 10.92 states/eV per cell. As for the theoretical density: 5945 kg/m³. The value obtained for the spin magnetization is 1.61 μB/f.u.

--- B ---
This record from Alexandria describes a geometry-optimized MgCoNi structure. The functional is GGA-PBE.

extended XYZ file:
```
3
Lattice="4.0184 0.0000 0.0000 2.0092 3.4801 0.0000 2.0092 1.1600 3.2810" Properties=species:S:1:pos:R:3 pbc="T T T"
Mg 4.0184 2.3201 1.6405
Ni 6.0277 3.4801 2.4608
Co 0.0000 0.0000 0.0000
```

## Properties
The density of states at the Fermi level comes out at 4.44 states/eV per cell. As for the theoretical density: 5137 kg/m³. The value obtained for the spin magnetization is 2.10 μB/f.u.

--- C ---
This record from Alexandria describes a geometry-optimized MgCoNi structure. The functional is GGA-PBE.

extended XYZ file:
```
3
Lattice="4.1680 0.0000 0.0000 -2.0840 3.6096 0.0000 0.0000 0.0000 2.6288" Properties=species:S:1:pos:R:3 pbc="T T T"
Co 0.0000 0.0000 2.2050
Ni 2.0840 1.2032 2.1757
Mg 0.0000 2.4064 0.8769
```

## Properties
The density of states at the Fermi level comes out at 3.79 states/eV per cell. As for the theoretical density: 5959 kg/m³. The value obtained for the spin magnetization is 1.82 μB/f.u.

Stability ranking, top entry: A; the second entry is 0.234 eV/atom less favorable.

--- A ---
This record from Alexandria describes a geometry-optimized Mg14CoNi structure. The functional is GGA-PBE.

extended XYZ file:
```
16
Lattice="3.0910 -5.3538 0.0000 3.0910 5.3538 0.0000 0.0000 0.0000 9.7444" Properties=species:S:1:pos:R:3 pbc="T T T"
Mg 3.0910 -1.7846 2.4344
Mg 3.0910 -0.0013 4.8722
Mg 3.0910 3.6661 7.3089
Mg 4.6349 2.6760 0.0000
Mg 1.5467 -2.6762 4.8722
Mg 3.0910 0.0019 0.0000
Mg 4.7204 0.8439 2.4355
Mg 1.4616 0.8439 2.4355
Co 0.0000 0.0000 0.0000
Mg 1.5472 2.6760 0.0000
Mg 1.4616 0.8439 7.3089
Ni 0.0000 0.0000 4.8722
Mg 4.6354 -2.6762 4.8722
Mg 3.0910 -1.7846 7.3100
Mg 3.0910 3.6661 2.4355
Mg 4.7204 0.8439 7.3089
```

## Properties
The density of states at the Fermi level comes out at 9.05 states/eV per cell. As for the theoretical density: 2358 kg/m³. The value obtained for the spin magnetization is 1.24 μB/f.u.

--- B ---
This record from Alexandria describes a geometry-optimized Mg14CoNi structure. The functional is GGA-PBE.

extended XYZ file:
```
16
Lattice="3.1725 -5.3247 0.0000 3.1725 5.3247 0.0000 0.0000 0.0000 9.7635" Properties=species:S:1:pos:R:3 pbc="T T T"
Mg 3.1725 1.7276 4.8818
Co 3.1725 1.8848 0.0000
Mg 1.5857 1.0075 7.7747
Mg 4.7593 1.0075 7.7747
Mg 3.1725 -1.7514 7.3449
Mg 1.5857 1.0075 1.9889
Mg 3.1725 -1.7514 2.4186
Mg 4.7629 -0.8666 4.8818
Mg 1.5825 -1.2551 0.0000
Mg 3.1725 -3.5906 4.8818
Ni 3.1725 -3.4126 0.0000
Mg 4.7625 -1.2551 0.0000
Mg 1.5821 -0.8666 4.8818
Mg 3.1725 3.5535 7.3535
Mg 4.7593 1.0075 1.9889
Mg 3.1725 3.5535 2.4101
```

## Properties
The density of states at the Fermi level comes out at 7.53 states/eV per cell. As for the theoretical density: 2305 kg/m³. The value obtained for the spin magnetization is 0.91 μB/f.u.

Stability ranking, top entry: B; the second entry is 0.016 eV/atom less favorable.